# YEr2Tm, relaxed, DFT PBE-GGA
data_YEr2Tm
_cell_length_a 3.560
_cell_length_b 5.505
_cell_length_c 12.840
_cell_angle_alpha 90.00
_cell_angle_beta 97.89
_cell_angle_gamma 90.00
_space_group_name_H-M_alt 'P 1 m 1'
_space_group_IT_number 6
_space_group_name_Hall 'P -2y'
loop_
_atom_site_label
_atom_site_type_symbol
_atom_site_fract_x
_atom_site_fract_y
_atom_site_fract_z
Y1 Y 0.000 0.000 0.000
Y2 Y 0.211 0.500 0.414
Er1 Er 0.073 0.500 0.148
Er2 Er 0.378 0.000 0.750
Er3 Er 0.625 0.000 0.252
Er4 Er 0.836 0.500 0.666
Tm1 Tm 0.456 0.500 0.913
Tm2 Tm 0.763 0.000 0.517
# Total magnetic moment ... 0.00 μB/f.u.
# Relative energy among the computed polymorphs ... 15 meV/atom
# N(E_F) ... 14.24 states/eV per cell
# Raw total energy ... -39.9 eV/cell
# Calculated density ... 7.9 g/cm³
# Formation energy from the elements ... 0.024 eV per atom